Entry 1:
DFT (GGA-PBE) results for a geometry-optimized CaY2Rh structure.

E_form ... -127 kJ/mol of formula units
Raw total energy ... -5.898 eV/atom
D(E_F) ... 3.3 states/eV/f.u.
M_tot ... 0.2 μB per formula unit

Structure (POSCAR):
```
CaY2Rh
1.0
3.762 0.000 0.000
0.000 4.145 0.000
0.000 0.000 15.575
Ca Y Rh
2 4 2
Cartesian
0.000 0.000 0.000
0.000 2.072 7.787
0.000 0.000 4.844
0.000 2.072 12.631
1.881 0.000 10.357
1.881 2.072 2.570
1.881 0.000 13.081
1.881 2.072 5.294
```


Entry 2:
DFT (GGA-PBE) results for a geometry-optimized CeScBr6 structure.

Formation energy from raw total energies ... -1.694 eV/atom
Raw total energy ... -4.482 eV/atom
D(E_F) ... 8.5 states/eV/f.u.
M_tot ... 1.0 μB per formula unit

Structure (POSCAR):
```
CeScBr6
1.0
3.517 2.030 6.401
-3.517 2.030 6.401
0.000 -4.061 6.401
Ce Sc Br
1 1 6
Cartesian
0.000 0.000 0.000
0.000 0.000 9.602
-2.196 0.018 8.079
-1.114 -1.893 11.126
1.082 -1.911 8.079
-1.082 1.911 11.126
1.114 1.893 8.079
2.196 -0.018 11.126
```


Entry 3:
DFT (GGA-PBE) results for a geometry-optimized AgW2Au structure.

E_form ... 268 kJ/mol of formula units
Raw total energy ... -7.314 eV/atom
D(E_F) ... 2.3 states/eV/f.u.
M_tot ... 0.0 μB per formula unit

Structure (POSCAR):
```
AgW2Au
1.0
6.477 0.000 0.000
0.000 6.477 0.000
0.000 0.000 6.477
Ag W Au
4 8 4
Cartesian
0.000 0.000 0.000
0.000 3.238 3.238
3.238 0.000 3.238
3.238 3.238 0.000
0.000 0.000 3.238
0.000 3.238 0.000
1.619 1.619 1.619
1.619 4.857 4.857
3.238 0.000 0.000
3.238 3.238 3.238
4.857 1.619 4.857
4.857 4.857 1.619
1.619 1.619 4.857
1.619 4.857 1.619
4.857 1.619 1.619
4.857 4.857 4.857
```


Calculated volume readings, ordered: 242.9; 274.2; 271.7 Å³/cell
Energy above the most stable polymorph in this dataset readings, ordered: 57; 30; 405 meV/atom